Entry 1:
{
  "formula": "ZrGaCuAg",
  "functional": "PBE",
  "state": "relaxed",
  "rho_g_cm3": 8.2,
  "magmom_total_mub_per_atom": 0.00,
  "de_polymorph_ev_per_fu": 0.000,
  "sg": "F-43m, No. 216",
  "final_energy_ev_per_atom": -4.689,
  "lattice_angstrom": [[0.000, 3.228, 3.228], [3.228, 0.000, 3.228], [3.228, 3.228, 0.000]],
  "species": ["Ga", "Cu", "Ag", "Zr"],
  "frac_coords": [[0.000, 0.000, 0.000], [0.750, 0.750, 0.750], [0.250, 0.250, 0.250], [0.500, 0.500, 0.500]]
}

Entry 2:
{
  "formula": "Al8Co5",
  "functional": "PBE",
  "state": "relaxed",
  "rho_g_cm3": 5.0,
  "magmom_total_mub_per_atom": 0.15,
  "de_polymorph_ev_per_fu": 0.000,
  "sg": "R-3m, No. 166",
  "final_energy_ev_per_atom": -5.175,
  "lattice_angstrom": [[2.473, 1.428, 8.071], [-2.473, 1.428, 8.071], [0.000, -2.856, 8.071]],
  "species": ["Al", "Al", "Al", "Al", "Al", "Al", "Al", "Al", "Co", "Co", "Co", "Co", "Co"],
  "frac_coords": [[0.648, 0.648, 0.648], [0.415, 0.919, 0.919], [0.081, 0.585, 0.081], [0.585, 0.081, 0.081], [0.919, 0.919, 0.415], [0.919, 0.415, 0.919], [0.352, 0.352, 0.352], [0.081, 0.081, 0.585], [0.451, 0.451, 0.451], [0.549, 0.549, 0.549], [0.168, 0.168, 0.168], [0.000, 0.000, 0.000], [0.832, 0.832, 0.832]]
}

Entry 3:
{
  "formula": "SrAgB",
  "functional": "PBE",
  "state": "relaxed",
  "rho_g_cm3": 4.7,
  "de_polymorph_ev_per_fu": 0.891,
  "sg": "F-43m, No. 216",
  "final_energy_ev_per_atom": -2.751,
  "lattice_angstrom": [[0.000, 3.317, 3.317], [3.317, 0.000, 3.317], [3.317, 3.317, 0.000]],
  "species": ["B", "Sr", "Ag"],
  "frac_coords": [[0.250, 0.250, 0.250], [0.750, 0.750, 0.750], [0.000, 0.000, 0.000]]
}

Entry 4:
{
  "formula": "CdNiB4",
  "functional": "PBE",
  "state": "relaxed",
  "rho_g_cm3": 6.1,
  "magmom_total_mub_per_atom": 0.00,
  "de_polymorph_ev_per_fu": 0.608,
  "sg": "Immm, No. 71",
  "final_energy_ev_per_atom": -5.098,
  "lattice_angstrom": [[-1.468, 2.683, 3.702], [1.468, -2.683, 3.702], [1.468, 2.683, -3.702]],
  "species": ["B", "B", "B", "B", "Cd", "Ni"],
  "frac_coords": [[0.897, 0.239, 0.658], [0.418, 0.761, 0.658], [0.103, 0.761, 0.342], [0.582, 0.239, 0.342], [0.000, 0.000, 0.000], [0.500, 0.500, 0.000]]
}

Entry 5:
{
  "formula": "ErTmAu4",
  "functional": "PBE",
  "state": "relaxed",
  "rho_g_cm3": 15.1,
  "magmom_total_mub_per_atom": 0.00,
  "formation_enthalpy_0k_ev_per_atom": -0.888,
  "sg": "P4/mmm, No. 123",
  "final_energy_ev_per_atom": -4.572,
  "lattice_angstrom": [[-0.223, 2.570, -2.660], [-0.601, -2.654, -2.514], [-8.845, 0.680, 1.397]],
  "species": ["Au", "Au", "Au", "Au", "Er", "Tm"],
  "frac_coords": [[0.500, 0.500, 0.835], [0.500, 0.500, 0.165], [0.000, 0.000, 0.335], [0.000, 0.000, 0.665], [0.500, 0.500, 0.500], [0.000, 0.000, 0.000]]
}

Entry 6:
{
  "formula": "Pr5Tc2O12",
  "functional": "PBE",
  "state": "relaxed",
  "rho_g_cm3": 6.5,
  "magmom_total_mub_per_atom": 0.05,
  "sg": "C2/m, No. 12",
  "final_energy_ev_per_atom": -8.218,
  "lattice_angstrom": [[6.455, -2.887, 0.000], [6.455, 2.887, 0.000], [-2.403, 0.000, 7.461]],
  "species": ["Tc", "Tc", "O", "O", "O", "O", "O", "O", "O", "O", "O", "O", "O", "O", "Pr", "Pr", "Pr", "Pr", "Pr"],
  "frac_coords": [[0.214, 0.786, 0.000], [0.786, 0.214, 0.000], [0.593, 0.096, 0.423], [0.499, 0.499, 0.833], [0.913, 0.404, 0.078], [0.087, 0.596, 0.922], [0.407, 0.904, 0.577], [0.501, 0.501, 0.167], [0.096, 0.593, 0.423], [0.999, 0.999, 0.802], [0.596, 0.087, 0.922], [0.404, 0.913, 0.078], [0.001, 0.001, 0.198], [0.904, 0.407, 0.577], [0.000, 0.000, 0.500], [0.315, 0.315, 0.170], [0.685, 0.685, 0.830], [0.691, 0.691, 0.354], [0.309, 0.309, 0.646]]
}